[1]
The following is a DFT calculation (PBE) of a relaxed Na3Bi4Au4 crystal.

```
Na3Bi4Au4
1.0
-3.4506 2.8423 -2.4700
-2.4305 0.1879 3.6116
9.7869 10.2675 3.4237
Na Bi Au
3 4 4
direct
0.3626 0.8626 0.7252
0.6374 0.1374 0.2748
0.0000 0.0000 0.0000
0.2573 0.2573 0.5146
0.0891 0.5891 0.1782
0.9109 0.4109 0.8218
0.7427 0.7427 0.4854
0.8137 0.3137 0.6275
0.4499 0.4499 0.8999
0.5501 0.5501 0.1001
0.1863 0.6863 0.3725
```



[2]
The following is a DFT calculation (PBE) of a relaxed Na3BiAu8 crystal.

```
Na3BiAu8
1.0
5.6332 0.0000 0.0000
2.8166 4.8785 0.0000
2.8166 1.6262 9.2635
Na Bi Au
3 1 8
direct
0.3740 0.3740 0.8781
0.0007 0.0007 0.9978
0.5000 0.5000 0.5001
0.8782 0.8782 0.3654
0.9377 0.4381 0.1861
0.4364 0.9366 0.6904
0.4381 0.4381 0.1861
0.9366 0.9366 0.6904
0.1864 0.1864 0.4409
0.6872 0.6872 0.9384
0.4381 0.9377 0.1861
0.9366 0.4364 0.6904
```



[3]
Na6Bi2Au | Alexandria via LeMat-Bulk | PBE | relaxed; excess energy over the best structure of this formula in the dataset = 0.0 meV/atom
1.0
5.4378 0.0000 0.0000
2.7189 4.7093 0.0000
2.7189 1.5698 10.4603
Na Bi Au
6 2 1
direct
0.5796 0.5796 0.2612
0.8052 0.8052 0.5843
0.6973 0.6973 0.9080
0.1948 0.1948 0.4157
0.4204 0.4204 0.7388
0.3027 0.3027 0.0920
0.9104 0.9104 0.2689
0.0896 0.0896 0.7311
0.0000 0.0000 0.0000



[4]
NaBi3Au2 | Alexandria via LeMat-Bulk | PBE | relaxed; excess energy over the best structure of this formula in the dataset = 0.0 meV/atom
1.0
-3.0027 -3.0092 2.0556
1.2350 -5.0817 -5.6351
6.7297 -3.5318 4.6598
Na Bi Au
2 6 4
direct
0.5000 0.5260 0.5666
0.5000 0.0260 0.4334
0.0000 0.4799 0.8916
0.0000 0.9799 0.1084
0.5000 0.6636 0.1827
0.5000 0.1636 0.8173
0.0000 0.3412 0.3160
0.0000 0.8412 0.6840
0.5000 0.7451 0.8615
0.5000 0.2451 0.1385
0.0000 0.2441 0.6247
0.0000 0.7441 0.3753



[5]
Na2Bi3Au | Alexandria via LeMat-Bulk | PBE | relaxed; excess energy over the best structure of this formula in the dataset = 37.2 meV/atom
1.0
5.9668 2.1398 0.0000
0.9393 6.2689 0.0000
-3.4530 -4.2044 9.4357
Na Bi Au
4 6 2
direct
0.7500 0.2500 0.5000
0.7526 0.2474 0.0000
0.2500 0.7500 0.5000
0.2474 0.7526 0.0000
0.8216 0.8216 0.1798
0.6418 0.6418 0.8202
0.1784 0.1784 0.8202
0.3582 0.3582 0.1798
0.1762 0.1762 0.3523
0.8238 0.8238 0.6477
0.6706 0.6706 0.3411
0.3294 0.3294 0.6589



[6]
Na4Bi2Au | Alexandria via LeMat-Bulk | PBE | relaxed; excess energy over the best structure of this formula in the dataset = 173.7 meV/atom
1.0
5.7961 0.0000 0.0000
0.0000 5.7961 0.0000
2.8980 2.8980 7.4989
Na Au Bi
4 1 2
direct
0.1869 0.1869 0.6262
0.8131 0.8131 0.3738
0.0000 0.5000 0.0000
0.5000 0.0000 0.0000
0.0000 0.0000 0.0000
0.3999 0.3999 0.2002
0.6001 0.6001 0.7998



[7]
The following is a DFT calculation (PBE) of a relaxed Na3Bi3Au2 crystal.

```
Na3Bi3Au2
1.0
4.6093 0.0000 0.0000
-2.3046 5.6413 0.0000
0.0000 0.0000 17.3786
Na Bi Au
6 6 4
direct
0.9322 0.8645 0.3790
0.0678 0.1355 0.8790
0.9322 0.8645 0.1210
0.0678 0.1355 0.6210
0.6523 0.3046 0.2500
0.3477 0.6954 0.7500
0.6323 0.2647 0.4677
0.3677 0.7353 0.9677
0.6323 0.2647 0.0323
0.3677 0.7353 0.5323
0.3613 0.7225 0.2500
0.6387 0.2775 0.7500
0.7787 0.5573 0.8835
0.2213 0.4427 0.3835
0.7787 0.5573 0.6165
0.2213 0.4427 0.1165
```



[8]
The following is a DFT calculation (PBE) of a relaxed NaBiAu10 crystal.

```
NaBiAu10
1.0
4.6608 0.0000 0.0000
0.0000 5.5959 0.0000
0.0000 0.0000 9.7951
Na Bi Au
1 1 10
direct
0.0000 0.0000 0.0000
0.0000 0.5000 0.5000
0.0000 0.0000 0.3353
0.0000 0.5000 0.8356
0.0000 0.5000 0.1644
0.0000 0.0000 0.6647
0.5000 0.0000 0.5000
0.5000 0.5000 0.0000
0.5000 0.2507 0.2496
0.5000 0.7493 0.7504
0.5000 0.7493 0.2496
0.5000 0.2507 0.7504
```



[9]
Na2BiAu2 | Alexandria via LeMat-Bulk | PBE | relaxed; excess energy over the best structure of this formula in the dataset = 1.6 meV/atom
1.0
-0.8949 4.7067 0.5757
-5.7466 1.3360 0.3694
-2.3740 1.3819 5.2343
Na Bi Au
2 1 2
direct
0.3017 0.1981 0.6981
0.6983 0.8019 0.3019
0.5000 0.5000 0.0000
0.0000 0.2286 0.2714
0.0000 0.7714 0.7286



[10]
The following is a DFT calculation (PBE) of a relaxed Na2Bi5Au4 crystal.

```
Na2Bi5Au4
1.0
-0.9369 2.8284 -6.0832
-6.7677 -0.9116 -3.1528
-2.9149 6.9195 -0.1051
Na Bi Au
2 5 4
direct
0.2973 0.7050 0.7004
0.7027 0.2950 0.2996
0.2446 0.1812 0.8200
0.7554 0.8188 0.1800
0.0000 0.5000 0.5000
0.7542 0.1812 0.8200
0.2458 0.8188 0.1800
0.2563 0.0759 0.4115
0.7437 0.9241 0.5885
0.7446 0.5830 0.9278
0.2554 0.4170 0.0722
```



[11]
The following is a DFT calculation (PBE) of a relaxed NaBi5Au3 crystal.

```
NaBi5Au3
1.0
-3.1077 -4.6988 4.2159
5.5993 -4.2038 0.6976
4.5215 2.3049 11.5141
Na Bi Au
2 10 6
direct
0.0254 0.0254 0.7498
0.9746 0.9746 0.2502
0.9968 0.3837 0.3446
0.3045 0.6955 0.0000
0.7061 0.7061 0.0886
0.3671 0.3671 0.4352
0.6329 0.6329 0.5648
0.2939 0.2939 0.9114
0.3837 0.9968 0.3446
0.6955 0.3045 0.0000
0.0032 0.6163 0.6554
0.6163 0.0032 0.6554
0.6841 0.6841 0.8371
0.6650 0.6650 0.3251
0.0000 0.0000 0.0000
0.0000 0.0000 0.5000
0.3159 0.3159 0.1629
0.3350 0.3350 0.6749
```



[12]
The following is a DFT calculation (PBE) of a relaxed NaBi2Au9 crystal.

```
NaBi2Au9
1.0
-5.3684 1.4619 -1.1062
1.9289 -5.1021 -1.5584
-5.2935 -7.0159 16.4177
Na Bi Au
2 4 18
direct
0.3333 0.6667 0.7500
0.6667 0.3333 0.2500
0.3333 0.6667 0.5329
0.6667 0.3333 0.0329
0.6667 0.3333 0.4671
0.3333 0.6667 0.9671
0.0000 0.0000 0.0000
0.0000 0.0000 0.5000
0.0000 0.0000 0.2500
0.0000 0.0000 0.7500
0.3333 0.6667 0.2500
0.6667 0.3333 0.7500
0.1681 0.3362 0.1252
0.6638 0.8319 0.1252
0.1681 0.8319 0.1252
0.8319 0.6638 0.6252
0.3362 0.1681 0.6252
0.8319 0.1681 0.6252
0.3362 0.1681 0.8748
0.8319 0.6638 0.8748
0.8319 0.1681 0.8748
0.6638 0.8319 0.3748
0.1681 0.3362 0.3748
0.1681 0.8319 0.3748
```



For the records above, the corresponding formation energy from the elements values read -0.1625 -0.2736 -0.3221 -0.1404 -0.1740 -0.1123 -0.2701 -0.0631 -0.3073 -0.0981 -0.0248 -0.0940 eV/atom.
For the records above, the corresponding E_tot values read -3.1253 -3.1117 -2.4280 -3.3932 -3.1003 -2.4431 -3.0394 -3.2275 -2.9220 -3.2937 -3.4200 -3.3087 eV per atom.